#A
LaMg14Sn after structural relaxation. Source: the Alexandria database, functional GGA-PBE.

Properties
DOS at the Fermi energy, states/eV per atom: 0.476
Crystal system: orthorhombic

Cell: 6.593 6.593 10.531 Å, 90.00 90.00 121.66°
Atoms (fractional coordinates):
La: 0.328 0.672 0.500
Mg: 0.829 0.171 0.000
Mg: 0.331 0.669 0.000
Mg: 0.323 0.168 0.500
Mg: 0.337 0.171 0.000
Mg: 0.832 0.677 0.500
Mg: 0.829 0.663 0.000
Mg: 0.171 0.331 0.241
Mg: 0.171 0.331 0.759
Mg: 0.669 0.829 0.241
Mg: 0.669 0.829 0.759
Mg: 0.670 0.330 0.262
Mg: 0.670 0.330 0.738
Mg: 0.165 0.835 0.242
Mg: 0.165 0.835 0.758
Sn: 0.842 0.158 0.500

***

#B
LaMg14Sn after structural relaxation. Source: the Alexandria database, functional GGA-PBE.

Properties
DOS at the Fermi energy, states/eV per atom: 0.620
Crystal system: hexagonal

Cell: 6.602 6.602 10.319 Å, 90.00 90.00 120.00°
Atoms (fractional coordinates):
La: 0.000 0.000 0.500
Mg: 0.990 0.495 0.000
Mg: 0.016 0.508 0.500
Mg: 0.505 0.010 0.000
Mg: 0.492 0.984 0.500
Mg: 0.505 0.495 0.000
Mg: 0.492 0.508 0.500
Mg: 0.170 0.830 0.240
Mg: 0.170 0.830 0.760
Mg: 0.170 0.339 0.240
Mg: 0.170 0.339 0.760
Mg: 0.661 0.830 0.240
Mg: 0.661 0.830 0.760
Mg: 0.667 0.333 0.262
Mg: 0.667 0.333 0.738
Sn: 0.000 0.000 0.000

***

Quick ranking, most stable first: #A, #B.

***

#A
La3MgSn after structural relaxation. Source: the Alexandria database, functional GGA-PBE.

Properties
DOS at the Fermi energy, states/eV per atom: 0.999
Crystal system: triclinic

Cell: 5.235 7.211 9.303 Å, 78.29 90.02 111.34°
Atoms (fractional coordinates):
La: 0.068 0.170 0.383
La: 0.465 0.963 0.591
La: 0.579 0.192 0.831
La: 0.976 0.984 0.039
La: 0.269 0.571 0.006
La: 0.775 0.583 0.416
Mg: 0.198 0.428 0.664
Mg: 0.846 0.726 0.757
Sn: 0.403 0.838 0.267
Sn: 0.641 0.316 0.155

***

#B
La3MgSn after structural relaxation. Source: the Alexandria database, functional GGA-PBE.

Properties
DOS at the Fermi energy, states/eV per atom: 1.757
Crystal system: cubic

Cell: 6.119 6.119 6.119 Å, 90.00 90.00 90.00°
Atoms (fractional coordinates):
Mg: 0.500 0.500 0.500
Sn: 0.000 0.000 0.000
La: 0.000 0.500 0.000
La: 0.000 0.000 0.500
La: 0.500 0.000 0.000

***

Quick ranking, most stable first: #A, #B.

***

#A
LaMg3Sn after structural relaxation. Source: the Alexandria database, functional GGA-PBE.

Properties
DOS at the Fermi energy, states/eV per atom: 0.732
Crystal system: cubic

Cell: 5.401 5.401 5.401 Å, 90.00 90.00 90.00°
Atoms (fractional coordinates):
Mg: 0.000 0.500 0.000
Mg: 0.000 0.000 0.500
Mg: 0.500 0.000 0.000
Sn: 0.000 0.000 0.000
La: 0.500 0.500 0.500

***

#B
LaMg3Sn after structural relaxation. Source: the Alexandria database, functional GGA-PBE.

Properties
DOS at the Fermi energy, states/eV per atom: 1.289
Crystal system: cubic

Cell: 5.892 5.892 5.892 Å, 90.00 90.00 90.00°
Atoms (fractional coordinates):
Mg: 0.000 0.500 0.000
Mg: 0.000 0.000 0.500
Mg: 0.500 0.000 0.000
Sn: 0.500 0.500 0.500
La: 0.000 0.000 0.000

***

Quick ranking, most stable first: #A, #B.

***

#A
SrLaMg6 after structural relaxation. Source: the Alexandria database, functional GGA-PBE.

Properties
DOS at the Fermi energy, states/eV per atom: 0.869
Crystal system: tetragonal

Cell: 6.967 6.967 4.813 Å, 90.00 90.00 90.02°
Atoms (fractional coordinates):
Sr: 0.625 0.375 0.500
La: 0.125 0.875 0.500
Mg: 0.125 0.375 0.500
Mg: 0.625 0.875 0.500
Mg: 0.367 0.117 0.000
Mg: 0.883 0.633 0.000
Mg: 0.367 0.633 0.000
Mg: 0.883 0.117 0.000

***

#B
SrLaMg6 after structural relaxation. Source: the Alexandria database, functional GGA-PBE.

Properties
DOS at the Fermi energy, states/eV per atom: 0.928
Crystal system: orthorhombic

Cell: 6.962 6.962 5.285 Å, 90.00 90.00 116.38°
Atoms (fractional coordinates):
Sr: 0.398 0.602 0.500
La: 0.100 0.900 0.000
Mg: 0.624 0.952 0.000
Mg: 0.048 0.376 0.000
Mg: 0.591 0.409 0.000
Mg: 0.881 0.559 0.500
Mg: 0.441 0.119 0.500
Mg: 0.918 0.082 0.500

***

Quick ranking, most stable first: #B, #A.

***

#A
Sr2LaMg2 after structural relaxation. Source: the Alexandria database, functional GGA-PBE.

Properties
DOS at the Fermi energy, states/eV per atom: 1.484
Crystal system: tetragonal

Cell: 9.079 9.079 4.753 Å, 90.00 90.00 90.00°
Atoms (fractional coordinates):
Sr: 0.172 0.672 0.500
Sr: 0.672 0.828 0.500
Sr: 0.828 0.328 0.500
Sr: 0.328 0.172 0.500
Mg: 0.374 0.874 0.000
Mg: 0.874 0.626 0.000
Mg: 0.626 0.126 0.000
Mg: 0.126 0.374 0.000
La: 0.000 0.000 0.000
La: 0.500 0.500 0.000

***

#B
Sr2LaMg2 after structural relaxation. Source: the Alexandria database, functional GGA-PBE.

Properties
DOS at the Fermi energy, states/eV per atom: 0.659
Crystal system: tetragonal

Cell: 9.887 9.887 3.750 Å, 90.00 90.00 90.00°
Atoms (fractional coordinates):
Sr: 0.367 0.867 0.000
Sr: 0.867 0.633 0.000
Sr: 0.633 0.133 0.000
Sr: 0.133 0.367 0.000
Mg: 0.166 0.666 0.500
Mg: 0.666 0.834 0.500
Mg: 0.834 0.334 0.500
Mg: 0.334 0.166 0.500
La: 0.000 0.000 0.000
La: 0.500 0.500 0.000

***

Quick ranking, most stable first: #A, #B.

***

#A
SrLa3Mg after structural relaxation. Source: the Alexandria database, functional GGA-PBE.

Properties
DOS at the Fermi energy, states/eV per atom: 1.638
Crystal system: cubic

Cell: 5.978 5.978 5.978 Å, 90.00 90.00 90.00°
Atoms (fractional coordinates):
Sr: 0.000 0.000 0.000
Mg: 0.500 0.500 0.500
La: 0.000 0.500 0.000
La: 0.000 0.000 0.500
La: 0.500 0.000 0.000

***

#B
SrLa3Mg after structural relaxation. Source: the Alexandria database, functional GGA-PBE.

Properties
DOS at the Fermi energy, states/eV per atom: 1.792
Crystal system: cubic

Cell: 6.059 6.059 6.059 Å, 90.00 90.00 90.00°
Atoms (fractional coordinates):
Sr: 0.500 0.500 0.500
Mg: 0.000 0.000 0.000
La: 0.000 0.500 0.000
La: 0.000 0.000 0.500
La: 0.500 0.000 0.000

***

Quick ranking, most stable first: #B, #A.

***

#A
SrLaMg2Tc after structural relaxation. Source: the Alexandria database, functional GGA-PBE.

Properties
DOS at the Fermi energy, states/eV per atom: 1.165
Crystal system: tetragonal

Cell: 5.987 4.785 5.987 Å, 90.00 90.00 90.00°
Atoms (fractional coordinates):
Sr: 0.500 0.500 0.500
Mg: 0.000 0.000 0.500
Mg: 0.500 0.000 0.000
Tc: 0.000 0.500 0.000
La: 0.000 0.000 0.000

***

#B
SrLaMg2Tc after structural relaxation. Source: the Alexandria database, functional GGA-PBE.

Properties
DOS at the Fermi energy, states/eV per atom: 0.950
Crystal system: tetragonal

Cell: 5.461 5.461 5.059 Å, 90.00 90.00 90.00°
Atoms (fractional coordinates):
Sr: 0.500 0.500 0.500
Mg: 0.000 0.500 0.000
Mg: 0.500 0.000 0.000
Tc: 0.000 0.000 0.000
La: 0.000 0.000 0.500

***

Quick ranking, most stable first: #B, #A.

***

#A
SrLaMgTl after structural relaxation. Source: the Alexandria database, functional GGA-PBE.

Properties
DOS at the Fermi energy, states/eV per atom: 0.876
Crystal system: tetragonal

Cell: 4.038 4.038 8.192 Å, 90.00 90.00 90.00°
Atoms (fractional coordinates):
Sr: 0.000 0.000 0.860
La: 0.000 0.000 0.354
Mg: 0.500 0.500 0.592
Tl: 0.500 0.500 0.122

***

#B
SrLaMgTl after structural relaxation. Source: the Alexandria database, functional GGA-PBE.

Properties
DOS at the Fermi energy, states/eV per atom: 0.564
Crystal system: cubic

Cell: 5.711 5.711 5.711 Å, 60.00 60.00 60.00°
Atoms (fractional coordinates):
Sr: 0.750 0.750 0.750
Tl: 0.000 0.000 0.000
Mg: 0.500 0.500 0.500
La: 0.250 0.250 0.250

***

Quick ranking, most stable first: #B, #A.

***

#A
LaMg2Ta after structural relaxation. Source: the Alexandria database, functional GGA-PBE.

Properties
DOS at the Fermi energy, states/eV per atom: 0.710
Crystal system: tetragonal

Cell: 3.107 3.108 9.835 Å, 90.00 90.00 90.00°
Atoms (fractional coordinates):
La: 0.500 0.500 0.733
Mg: 0.000 0.000 0.027
Mg: 0.500 0.500 0.262
Ta: 0.000 0.000 0.478

***

#B
LaMg2Ta after structural relaxation. Source: the Alexandria database, functional GGA-PBE.

Properties
DOS at the Fermi energy, states/eV per atom: 0.762
Crystal system: cubic

Cell: 5.111 5.111 5.111 Å, 60.00 60.00 60.00°
Atoms (fractional coordinates):
Mg: 0.250 0.250 0.250
Mg: 0.750 0.750 0.750
La: 0.000 0.000 0.000
Ta: 0.500 0.500 0.500

***

Quick ranking, most stable first: #A, #B.

***

#A
LaMg2Ta after structural relaxation. Source: the Alexandria database, functional GGA-PBE.

Properties
DOS at the Fermi energy, states/eV per atom: 0.880
Crystal system: orthorhombic

Cell: 6.242 6.242 6.242 Å, 150.51 126.41 62.36°
Atoms (fractional coordinates):
La: 0.262 0.762 0.500
Mg: 0.984 0.984 0.000
Mg: 0.744 0.244 0.500
Ta: 0.510 0.510 0.000

***

#B
LaMg2Ta after structural relaxation. Source: the Alexandria database, functional GGA-PBE.

Properties
DOS at the Fermi energy, states/eV per atom: 0.684
Crystal system: tetragonal

Cell: 3.077 3.077 9.836 Å, 90.00 90.00 90.00°
Atoms (fractional coordinates):
La: 0.500 0.500 0.750
Mg: 0.000 0.000 0.036
Mg: 0.000 0.000 0.464
Ta: 0.500 0.500 0.250

***

#C
LaMg2Ta after structural relaxation. Source: the Alexandria database, functional GGA-PBE.

Properties
DOS at the Fermi energy, states/eV per atom: 0.807
Crystal system: orthorhombic

Cell: 5.695 5.695 3.113 Å, 90.00 90.00 114.22°
Atoms (fractional coordinates):
La: 0.000 0.500 0.500
Mg: 0.000 0.000 0.000
Mg: 0.500 0.500 0.000
Ta: 0.500 0.000 0.500

***

Quick ranking, most stable first: #B, #C, #A.

***

#A
LaMg2Ta after structural relaxation. Source: the Alexandria database, functional GGA-PBE.

Properties
DOS at the Fermi energy, states/eV per atom: 1.344
Crystal system: tetragonal

Cell: 5.641 5.641 5.641 Å, 132.99 132.99 68.68°
Atoms (fractional coordinates):
La: 0.750 0.250 0.500
Mg: 0.000 0.000 0.000
Mg: 0.500 0.500 0.000
Ta: 0.250 0.750 0.500

***

#B
LaMg2Ta after structural relaxation. Source: the Alexandria database, functional GGA-PBE.

Properties
DOS at the Fermi energy, states/eV per atom: 0.990
Crystal system: tetragonal

Cell: 5.626 5.626 5.626 Å, 132.17 132.17 69.96°
Atoms (fractional coordinates):
La: 0.750 0.250 0.500
Mg: 0.000 0.000 0.000
Mg: 0.250 0.750 0.500
Ta: 0.500 0.500 0.000

***

#C
LaMg2Ta after structural relaxation. Source: the Alexandria database, functional GGA-PBE.

Properties
DOS at the Fermi energy, states/eV per atom: 1.478
Crystal system: tetragonal

Cell: 4.300 4.300 11.719 Å, 79.43 79.43 90.00°
Atoms (fractional coordinates):
Mg: 0.656 0.125 0.250
Mg: 0.094 0.625 0.250
Mg: 0.375 0.344 0.750
Mg: 0.875 0.906 0.750
La: 0.500 0.500 0.000
La: 0.250 0.750 0.500
Ta: 0.000 0.000 0.000
Ta: 0.750 0.250 0.500

***

#D
LaMg2Ta after structural relaxation. Source: the Alexandria database, functional GGA-PBE.

Properties
DOS at the Fermi energy, states/eV per atom: 1.092
Crystal system: trigonal

Cell: 11.440 11.440 11.440 Å, 15.56 15.56 15.56°
Atoms (fractional coordinates):
La: 0.750 0.750 0.750
Mg: 0.992 0.992 0.992
Mg: 0.508 0.508 0.508
Ta: 0.250 0.250 0.250

***

Quick ranking, most stable first: #D, #A, #B, #C.